# 1
The following is a GGA-PBE calculation of a relaxed SmSc3Hg4 crystal, from Alexandria.

```
data_SmSc3Hg4
_symmetry_space_group_name_H-M 'P 4/m m m'
_symmetry_Int_Tables_number 123
_symmetry_space_group_name_Hall '-P 4 2'
_cell_length_a 5.031
_cell_length_b 5.031
_cell_length_c 7.343
_cell_angle_alpha 90.00
_cell_angle_beta 90.00
_cell_angle_gamma 90.00
loop_
_atom_site_label
_atom_site_fract_x
_atom_site_fract_y
_atom_site_fract_z
Sm1 0.000 0.000 0.000
Sc1 0.000 0.000 0.500
Sc2 0.500 0.500 0.000
Sc3 0.500 0.500 0.500
Hg1 0.000 0.500 0.268
```

* energy of formation: -0.43 eV per atom
* calculated total energy: -28.32 eV/cell

=====

# 2
The following is a GGA-PBE calculation of a relaxed Sm6ScHg5 crystal, from Alexandria.

```
data_Sm6ScHg5
_symmetry_space_group_name_H-M 'P 1 2/m 1'
_symmetry_Int_Tables_number 10
_symmetry_space_group_name_Hall '-P 2y'
_cell_length_a 5.294
_cell_length_b 7.696
_cell_length_c 8.534
_cell_angle_alpha 90.00
_cell_angle_beta 107.94
_cell_angle_gamma 90.00
loop_
_atom_site_label
_atom_site_fract_x
_atom_site_fract_y
_atom_site_fract_z
Sm1 0.000 0.234 0.000
Sm2 0.329 0.254 0.658
Sc1 0.500 0.500 0.000
Hg1 0.149 0.500 0.298
Hg2 0.167 0.000 0.334
Hg3 0.500 0.000 0.000
```

* energy of formation: -0.36 eV per atom
* calculated total energy: -40.45 eV/cell

=====

# 3
The following is a GGA-PBE calculation of a relaxed Sm4ScHg crystal, from Alexandria.

```
data_Sm4ScHg
_symmetry_space_group_name_H-M 'C 1 2/c 1'
_symmetry_Int_Tables_number 15
_symmetry_space_group_name_Hall '-C 2yc'
_cell_length_a 8.820
_cell_length_b 14.112
_cell_length_c 6.288
_cell_angle_alpha 90.00
_cell_angle_beta 109.15
_cell_angle_gamma 90.00
loop_
_atom_site_label
_atom_site_fract_x
_atom_site_fract_y
_atom_site_fract_z
Sm1 0.101 0.191 0.052
Sm2 0.208 0.397 0.368
Sc1 0.000 0.398 0.750
Hg1 0.000 0.001 0.750
```

* energy of formation: -0.02 eV per atom
* energy above the lowest structure with this stoichiometry: 104 meV per atom
* calculated total energy: -102.58 eV/cell

=====

# 4
The following is a GGA-PBE calculation of a relaxed SmSc2Hg crystal, from Alexandria.

```
data_SmSc2Hg
_symmetry_space_group_name_H-M 'R 3 m'
_symmetry_Int_Tables_number 160
_symmetry_space_group_name_Hall 'R 3 -2"'
_cell_length_a 3.4667
_cell_length_b 3.4667
_cell_length_c 30.3109
_cell_angle_alpha 90.00
_cell_angle_beta 90.00
_cell_angle_gamma 120.00
loop_
_atom_site_label
_atom_site_fract_x
_atom_site_fract_y
_atom_site_fract_z
Sm1 0.0000 0.0000 0.0000
Sc1 0.0000 0.0000 0.5743
Sc2 0.0000 0.0000 0.7582
Hg1 0.0000 0.0000 0.1660
```

* energy of formation: -0.10 eV per atom
* energy above the lowest structure with this stoichiometry: 95 meV per atom
* calculated total energy: -54.19 eV/cell

=====

# 5
The following is a GGA-PBE calculation of a relaxed Sm2ScHg2 crystal, from Alexandria.

```
data_Sm2ScHg2
_symmetry_space_group_name_H-M 'I m m m'
_symmetry_Int_Tables_number 71
_symmetry_space_group_name_Hall '-I 2 2'
_cell_length_a 3.859
_cell_length_b 7.136
_cell_length_c 10.014
_cell_angle_alpha 90.00
_cell_angle_beta 90.00
_cell_angle_gamma 90.00
loop_
_atom_site_label
_atom_site_fract_x
_atom_site_fract_y
_atom_site_fract_z
Sm1 0.000 0.000 0.216
Sc1 0.000 0.500 0.000
Hg1 0.000 0.291 0.500
```

* energy of formation: -0.30 eV per atom
* calculated total energy: -35.79 eV/cell

=====

# 6
The following is a GGA-PBE calculation of a relaxed Sm2ScHg3 crystal, from Alexandria.

```
data_Sm2ScHg3
_symmetry_space_group_name_H-M 'P 4/m m m'
_symmetry_Int_Tables_number 123
_symmetry_space_group_name_Hall '-P 4 2'
_cell_length_a 3.610
_cell_length_b 3.610
_cell_length_c 11.654
_cell_angle_alpha 90.00
_cell_angle_beta 90.00
_cell_angle_gamma 90.00
loop_
_atom_site_label
_atom_site_fract_x
_atom_site_fract_y
_atom_site_fract_z
Sm1 0.000 0.000 0.178
Sc1 0.000 0.000 0.500
Hg1 0.500 0.500 0.000
Hg2 0.500 0.500 0.358
```

* energy of formation: -0.45 eV per atom
* calculated total energy: -19.37 eV/cell